Computed, not measured: a relaxed structure of ReAgPb at the PBEsol level of DFT.

Results
SG ... F-43m, No. 216
Uncorrected energy ... -5.670 eV/atom
DFT formation energy ... 1.211 eV per atom

a b c (Å): 4.509 4.509 4.509
angles (deg): 60.00 60.00 60.00
Atoms (fractional coordinates):
Re  0.250  0.250  0.250
Ag  0.000  0.000  0.000
Pb  0.500  0.500  0.500